# ZrMn2Se

An optimized crystal structure of ZrMn2Se (GGA-PBE, the Alexandria database).

M_tot: 5.851 μB per formula unit
Raw formation energy: -0.158 eV/atom

a = 3.4864 Å, b = 3.4864 Å, c = 5.5692 Å
α = 90.00°, β = 90.00°, γ = 90.00°
Atoms (fractional coordinates):
Zr  0.0000  0.0000  0.0000
Mn  0.5000  0.5000  0.2529
Mn  0.5000  0.5000  0.7471
Se  0.0000  0.0000  0.5000